Record 1
! TaCd3H, optimized geometry, DFT PBE-GGA; values from VASP
! Electronic total energy in eV per atom: -2.10
! N(E_F) in states/eV/f.u.: 4.741
! Space-group type: No. 221
&SYSTEM
  ibrav = 0, nat = 5, ntyp = 3
/
ATOMIC_SPECIES
Cd 112.41 Cd.upf
Ta 180.95 Ta.upf
H 1.01 H.upf
CELL_PARAMETERS angstrom
-0.8401 -1.6912 -5.2797
-0.7044 -5.2641 1.7983
-5.4990 0.9327 0.5762
ATOMIC_POSITIONS angstrom
Cd -0.3522 -2.6321 0.8991
Cd -2.7495 0.4663 0.2881
Cd -0.4200 -0.8456 -2.6398
Ta 0.0000 0.0000 0.0000
H -3.5217 -3.0113 -1.4526

=====

Record 2
! Ta3CdH, optimized geometry, DFT PBE-GGA; values from VASP
! Electronic total energy in eV per atom: -4.96
! N(E_F) in states/eV/f.u.: 9.495
! Space-group type: No. 221
&SYSTEM
  ibrav = 0, nat = 5, ntyp = 3
/
ATOMIC_SPECIES
H 1.01 H.upf
Cd 112.41 Cd.upf
Ta 180.95 Ta.upf
CELL_PARAMETERS angstrom
5.0241 0.0000 0.0000
0.0000 5.0241 0.0000
0.0000 0.0000 5.0241
ATOMIC_POSITIONS angstrom
H 2.5120 2.5120 2.5120
Cd 0.0000 0.0000 0.0000
Ta 0.0000 2.5120 0.0000
Ta 2.5120 0.0000 0.0000
Ta 0.0000 0.0000 2.5120

=====

Record 3
! TaCdH2, optimized geometry, DFT PBE-GGA; values from VASP
! Electronic total energy in eV per atom: -3.99
! N(E_F) in states/eV/f.u.: 3.474
! Space-group type: No. 225
&SYSTEM
  ibrav = 0, nat = 4, ntyp = 3
/
ATOMIC_SPECIES
H 1.01 H.upf
Cd 112.41 Cd.upf
Ta 180.95 Ta.upf
CELL_PARAMETERS angstrom
0.0000 2.8172 2.8172
2.8172 0.0000 2.8172
2.8172 2.8172 0.0000
ATOMIC_POSITIONS angstrom
H 4.2257 4.2257 4.2257
H 1.4086 1.4086 1.4086
Cd 0.0000 0.0000 0.0000
Ta 2.8172 2.8172 2.8172

=====

Record 4
! TaCd3H, optimized geometry, DFT PBE-GGA; values from VASP
! Electronic total energy in eV per atom: -2.96
! N(E_F) in states/eV/f.u.: 3.478
! Space-group type: No. 221
&SYSTEM
  ibrav = 0, nat = 5, ntyp = 3
/
ATOMIC_SPECIES
H 1.01 H.upf
Cd 112.41 Cd.upf
Ta 180.95 Ta.upf
CELL_PARAMETERS angstrom
4.3749 0.0000 0.0000
0.0000 4.3749 0.0000
0.0000 0.0000 4.3749
ATOMIC_POSITIONS angstrom
H 0.0000 0.0000 0.0000
Cd 0.0000 2.1875 0.0000
Cd 0.0000 0.0000 2.1875
Cd 2.1875 0.0000 0.0000
Ta 2.1875 2.1875 2.1875

=====

Record 5
! TaCdH3, optimized geometry, DFT PBE-GGA; values from VASP
! Electronic total energy in eV per atom: -4.32
! N(E_F) in states/eV/f.u.: 2.064
! Space-group type: No. 221
&SYSTEM
  ibrav = 0, nat = 5, ntyp = 3
/
ATOMIC_SPECIES
H 1.01 H.upf
Cd 112.41 Cd.upf
Ta 180.95 Ta.upf
CELL_PARAMETERS angstrom
3.7086 0.0000 0.0000
0.0000 3.7086 0.0000
0.0000 0.0000 3.7086
ATOMIC_POSITIONS angstrom
H 0.0000 1.8543 0.0000
H 1.8543 0.0000 0.0000
H 0.0000 0.0000 1.8543
Cd 1.8543 1.8543 1.8543
Ta 0.0000 0.0000 0.0000

=====

Record 6
! Ta3CdH, optimized geometry, DFT PBE-GGA; values from VASP
! Electronic total energy in eV per atom: -7.82
! N(E_F) in states/eV/f.u.: 5.687
! Space-group type: No. 221
&SYSTEM
  ibrav = 0, nat = 5, ntyp = 3
/
ATOMIC_SPECIES
Ta 180.95 Ta.upf
H 1.01 H.upf
Cd 112.41 Cd.upf
CELL_PARAMETERS angstrom
4.2322 0.0000 0.0000
0.0000 4.2322 0.0000
0.0000 0.0000 4.2322
ATOMIC_POSITIONS angstrom
Ta 0.0000 2.1161 0.0000
Ta 2.1161 0.0000 0.0000
Ta 0.0000 0.0000 2.1161
H 0.0000 0.0000 0.0000
Cd 2.1161 2.1161 2.1161

=====

Record 7
! Ta2CdH, optimized geometry, DFT PBE-GGA; values from VASP
! Electronic total energy in eV per atom: -5.97
! N(E_F) in states/eV/f.u.: 4.176
! Space-group type: No. 225
&SYSTEM
  ibrav = 0, nat = 4, ntyp = 3
/
ATOMIC_SPECIES
H 1.01 H.upf
Ta 180.95 Ta.upf
Cd 112.41 Cd.upf
CELL_PARAMETERS angstrom
0.9587 -3.7706 -2.2682
1.6264 -3.5883 2.1818
-2.5645 -3.6632 0.5348
ATOMIC_POSITIONS angstrom
H 0.0000 0.0000 0.0000
Ta 0.0052 -2.7555 0.1121
Ta 0.0155 -8.2666 0.3364
Cd 0.0103 -5.5111 0.2242

=====

Record 8
! TaCdH3, optimized geometry, DFT PBE-GGA; values from VASP
! Electronic total energy in eV per atom: -3.48
! N(E_F) in states/eV/f.u.: 3.019
! Space-group type: No. 221
&SYSTEM
  ibrav = 0, nat = 5, ntyp = 3
/
ATOMIC_SPECIES
H 1.01 H.upf
Ta 180.95 Ta.upf
Cd 112.41 Cd.upf
CELL_PARAMETERS angstrom
3.6912 0.0000 0.0000
0.0000 3.6912 0.0000
0.0000 0.0000 3.6912
ATOMIC_POSITIONS angstrom
H 1.8456 0.0000 0.0000
H 0.0000 1.8456 0.0000
H 0.0000 0.0000 1.8456
Ta 1.8456 1.8456 1.8456
Cd 0.0000 0.0000 0.0000

=====

Record 9
! Ta2CdH, optimized geometry, DFT PBE-GGA; values from VASP
! Electronic total energy in eV per atom: -6.49
! N(E_F) in states/eV/f.u.: 2.630
! Space-group type: No. 141
&SYSTEM
  ibrav = 0, nat = 8, ntyp = 3
/
ATOMIC_SPECIES
Ta 180.95 Ta.upf
Cd 112.41 Cd.upf
H 1.01 H.upf
CELL_PARAMETERS angstrom
-4.4729 0.8633 3.5619
3.5012 -0.6548 4.5554
0.2778 4.1083 4.0472
ATOMIC_POSITIONS angstrom
Ta -1.5184 3.4276 8.9976
Ta 0.7206 2.9955 7.2199
Ta 0.5788 0.9419 5.1959
Ta -1.1686 1.2686 2.9157
Cd 0.0000 0.0000 0.0000
Cd -2.3404 2.5379 5.8339
H 1.6466 1.7789 6.3306
H -0.4858 0.1042 4.0586

=====

Record 10
! TaTi2CdH, optimized geometry, DFT PBE-GGA; values from VASP
! Electronic total energy in eV per atom: -6.44
! N(E_F) in states/eV/f.u.: 4.680
! Space-group type: No. 123
&SYSTEM
  ibrav = 0, nat = 5, ntyp = 4
/
ATOMIC_SPECIES
Ta 180.95 Ta.upf
Cd 112.41 Cd.upf
H 1.01 H.upf
Ti 47.87 Ti.upf
CELL_PARAMETERS angstrom
4.2497 0.0000 0.0000
0.0000 4.2497 0.0000
0.0000 0.0000 4.0512
ATOMIC_POSITIONS angstrom
Ta 0.0000 0.0000 2.0256
Cd 2.1248 2.1248 2.0256
H 0.0000 0.0000 0.0000
Ti 2.1248 0.0000 0.0000
Ti 0.0000 2.1248 0.0000

=====

Record 11
! TaCdH2W, optimized geometry, DFT PBE-GGA; values from VASP
! Electronic total energy in eV per atom: -5.22
! N(E_F) in states/eV/f.u.: 3.549
! Space-group type: No. 123
&SYSTEM
  ibrav = 0, nat = 5, ntyp = 4
/
ATOMIC_SPECIES
Ta 180.95 Ta.upf
W 183.84 W.upf
H 1.01 H.upf
Cd 112.41 Cd.upf
CELL_PARAMETERS angstrom
3.6624 0.0000 0.0000
0.0000 5.9391 0.0000
0.0000 0.0000 3.6624
ATOMIC_POSITIONS angstrom
Ta 1.8312 2.9695 1.8312
W 0.0000 2.9695 0.0000
H 0.0000 0.0000 1.8312
H 1.8312 0.0000 0.0000
Cd 0.0000 0.0000 0.0000

=====

Record 12
! ZrTa2CdH, optimized geometry, DFT PBE-GGA; values from VASP
! Electronic total energy in eV per atom: -7.26
! N(E_F) in states/eV/f.u.: 4.108
! Space-group type: No. 123
&SYSTEM
  ibrav = 0, nat = 5, ntyp = 4
/
ATOMIC_SPECIES
Ta 180.95 Ta.upf
Zr 91.22 Zr.upf
Cd 112.41 Cd.upf
H 1.01 H.upf
CELL_PARAMETERS angstrom
-2.5006 -0.2356 -3.3319
-2.9408 -1.8183 2.3357
-1.7544 4.1516 1.0231
ATOMIC_POSITIONS angstrom
Ta -1.4704 -0.9091 1.1678
Ta -1.2503 -0.1178 -1.6659
Zr -0.8772 2.0758 0.5115
Cd -3.5979 1.0489 0.0134
H 0.0000 0.0000 0.0000